A) # SbAsPb2 GGA-PBEsol relaxed
# Density of states at the Fermi level in states/eV per cell: 11.21
data_SbAsPb2
_cell_length_a 7.459
_cell_length_b 7.459
_cell_length_c 7.459
_cell_angle_alpha 90.00
_cell_angle_beta 90.00
_cell_angle_gamma 90.00
_space_group_name_H-M_alt 'F m -3 m'
_space_group_IT_number 225
_space_group_name_Hall '-F 4 2 3'
loop_
_atom_site_label
_atom_site_fract_x
_atom_site_fract_y
_atom_site_fract_z
Sb1 0.000 0.000 0.000
As1 0.000 0.000 0.500
Pb1 0.250 0.250 0.250


B) # SbAsPb2 GGA-PBEsol relaxed
# Density of states at the Fermi level in states/eV per cell: 4.59
data_SbAsPb2
_cell_length_a 3.732
_cell_length_b 5.354
_cell_length_c 10.576
_cell_angle_alpha 90.00
_cell_angle_beta 90.00
_cell_angle_gamma 90.00
_space_group_name_H-M_alt 'I m m 2'
_space_group_IT_number 44
_space_group_name_Hall 'I 2 -2'
loop_
_atom_site_label
_atom_site_fract_x
_atom_site_fract_y
_atom_site_fract_z
Sb1 0.000 0.000 0.000
As1 0.000 0.500 0.696
Pb1 0.000 0.000 0.430
Pb2 0.000 0.500 0.214


Which one is most stable, and which one is least stable? B) is the most stable of them, while A) is the least stable.


A) # As2PbSe GGA-PBEsol relaxed
# Density of states at the Fermi level in states/eV per cell: 5.63
data_As2PbSe
_cell_length_a 4.074
_cell_length_b 4.074
_cell_length_c 10.953
_cell_angle_alpha 90.00
_cell_angle_beta 90.00
_cell_angle_gamma 90.00
_space_group_name_H-M_alt 'I 4/m m m'
_space_group_IT_number 139
_space_group_name_Hall '-I 4 2'
loop_
_atom_site_label
_atom_site_fract_x
_atom_site_fract_y
_atom_site_fract_z
As1 0.000 0.500 0.250
Pb1 0.000 0.000 0.000
Se1 0.000 0.000 0.500


B) # As2PbSe GGA-PBEsol relaxed
# Density of states at the Fermi level in states/eV per cell: 0.90
data_As2PbSe
_cell_length_a 4.072
_cell_length_b 4.072
_cell_length_c 5.893
_cell_angle_alpha 90.00
_cell_angle_beta 90.00
_cell_angle_gamma 90.00
_space_group_name_H-M_alt 'P 4 m m'
_space_group_IT_number 99
_space_group_name_Hall 'P 4 -2'
loop_
_atom_site_label
_atom_site_fract_x
_atom_site_fract_y
_atom_site_fract_z
As1 0.000 0.000 0.000
As2 0.500 0.500 0.025
Pb1 0.500 0.500 0.505
Se1 0.000 0.000 0.576


Which one is most stable, and which one is least stable? B) is the most stable of them, while A) is the least stable.